Record 1
A relaxed LaGe2IrPd crystal, computed with PBE-GGA.

a b c (Å): 4.3359 4.3359 10.3882
angles (deg): 90.00 90.00 90.00
Space group I-4m2 (No. 119)
Symmetry-distinct sites (fractional):
La (0.0000, 0.0000, 0.0000) [2 per cell]
Ge (0.0000, 0.0000, 0.3730) [4 per cell]
Ir (0.0000, 0.5000, 0.2500) [2 per cell]
Pd (0.0000, 0.5000, 0.7500) [2 per cell]

Output
**DFT total energy**: -6.41 eV per atom
**D(E_F)**: 1.05 states/eV/atom
**Crystal system**: tetragonal
**E_form**: -762.7 meV per atom

Record 2
A relaxed La2Ge3Ir4Pd crystal, computed with PBE-GGA.

a b c (Å): 4.2283 4.2283 10.7160
angles (deg): 90.00 90.00 90.00
Space group P-4m2 (No. 115)
Symmetry-distinct sites (fractional):
La (0.0000, 0.5000, 0.2462) [2 per cell]
Ge (0.0000, 0.0000, 0.0000) [1 per cell]
Ge (0.0000, 0.5000, 0.6251) [2 per cell]
Ir (0.0000, 0.0000, 0.5000) [1 per cell]
Ir (0.0000, 0.5000, 0.8537) [2 per cell]
Ir (0.5000, 0.5000, 0.5000) [1 per cell]
Pd (0.5000, 0.5000, 0.0000) [1 per cell]

Output
**DFT total energy**: -7.14 eV per atom
**D(E_F)**: 0.56 states/eV/atom
**Crystal system**: tetragonal
**E_form**: -707.8 meV per atom

Record 3
A relaxed La2PrGe3Ir4 crystal, computed with PBE-GGA.

a b c (Å): 4.2645 4.2645 11.4570
angles (deg): 90.00 90.00 90.00
Space group P-4m2 (No. 115)
Symmetry-distinct sites (fractional):
La (0.0000, 0.5000, 0.2290) [2 per cell]
Pr (0.0000, 0.0000, 0.5000) [1 per cell]
Ge (0.0000, 0.5000, 0.8829) [2 per cell]
Ge (0.5000, 0.5000, 0.5000) [1 per cell]
Ir (0.0000, 0.0000, 0.0000) [1 per cell]
Ir (0.0000, 0.5000, 0.6674) [2 per cell]
Ir (0.5000, 0.5000, 0.0000) [1 per cell]

Output
**DFT total energy**: -7.13 eV per atom
**D(E_F)**: 0.45 states/eV/atom
**Crystal system**: tetragonal
**E_form**: -740.5 meV per atom

Record 4
A relaxed La2Ge3IrPt4 crystal, computed with PBE-GGA.

a b c (Å): 4.3329 4.3329 10.5669
angles (deg): 90.00 90.00 90.00
Space group P-4m2 (No. 115)
Symmetry-distinct sites (fractional):
La (0.0000, 0.5000, 0.2426) [2 per cell]
Ge (0.0000, 0.0000, 0.0000) [1 per cell]
Ge (0.0000, 0.5000, 0.6269) [2 per cell]
Ir (0.5000, 0.5000, 0.0000) [1 per cell]
Pt (0.0000, 0.0000, 0.5000) [1 per cell]
Pt (0.0000, 0.5000, 0.8583) [2 per cell]
Pt (0.5000, 0.5000, 0.5000) [1 per cell]

Output
**DFT total energy**: -6.47 eV per atom
**D(E_F)**: 0.84 states/eV/atom
**Crystal system**: tetragonal
**E_form**: -799.2 meV per atom

Record 5
A relaxed La2Ge4IrPt3 crystal, computed with PBE-GGA.

a b c (Å): 4.3443 4.3443 10.3493
angles (deg): 90.00 90.00 90.00
Space group P-4m2 (No. 115)
Symmetry-distinct sites (fractional):
La (0.0000, 0.5000, 0.2470) [2 per cell]
Ge (0.0000, 0.0000, 0.0000) [1 per cell]
Ge (0.0000, 0.5000, 0.6304) [2 per cell]
Ge (0.5000, 0.5000, 0.0000) [1 per cell]
Ir (0.0000, 0.0000, 0.5000) [1 per cell]
Pt (0.0000, 0.5000, 0.8717) [2 per cell]
Pt (0.5000, 0.5000, 0.5000) [1 per cell]

Output
**DFT total energy**: -6.46 eV per atom
**D(E_F)**: 0.69 states/eV/atom
**Crystal system**: tetragonal
**E_form**: -928.0 meV per atom

Record 6
A relaxed La2PuGe3Ir4 crystal, computed with PBE-GGA.

a b c (Å): 4.2700 4.2700 11.0898
angles (deg): 90.00 90.00 90.00
Space group P-4m2 (No. 115)
Symmetry-distinct sites (fractional):
La (0.0000, 0.5000, 0.2343) [2 per cell]
Pu (0.0000, 0.0000, 0.5000) [1 per cell]
Ge (0.0000, 0.5000, 0.8786) [2 per cell]
Ge (0.5000, 0.5000, 0.5000) [1 per cell]
Ir (0.0000, 0.0000, 0.0000) [1 per cell]
Ir (0.0000, 0.5000, 0.6532) [2 per cell]
Ir (0.5000, 0.5000, 0.0000) [1 per cell]

Output
**DFT total energy**: -8.10 eV per atom
**D(E_F)**: 0.70 states/eV/atom
**Crystal system**: tetragonal
**E_form**: -755.5 meV per atom

Record 7
A relaxed LaReGe2Ir crystal, computed with PBE-GGA.

a b c (Å): 4.7571 4.7571 5.0012
angles (deg): 90.00 90.00 90.00
Space group P4/mmm (No. 123)
Symmetry-distinct sites (fractional):
La (0.0000, 0.0000, 0.0000) [1 per cell]
Re (0.5000, 0.5000, 0.5000) [1 per cell]
Ge (0.0000, 0.5000, 0.5000) [2 per cell]
Ir (0.5000, 0.5000, 0.0000) [1 per cell]

Output
**DFT total energy**: -7.05 eV per atom
**D(E_F)**: 0.63 states/eV/atom
**Crystal system**: tetragonal
**E_form**: 45.4 meV per atom

Record 8
A relaxed La2Ge4Ir3Ru crystal, computed with PBE-GGA.

a b c (Å): 4.3561 4.3561 10.0372
angles (deg): 90.00 90.00 90.00
Space group P-4m2 (No. 115)
Symmetry-distinct sites (fractional):
La (0.0000, 0.5000, 0.2483) [2 per cell]
Ge (0.0000, 0.0000, 0.0000) [1 per cell]
Ge (0.0000, 0.5000, 0.6246) [2 per cell]
Ge (0.5000, 0.5000, 0.0000) [1 per cell]
Ir (0.0000, 0.5000, 0.8738) [2 per cell]
Ir (0.5000, 0.5000, 0.5000) [1 per cell]
Ru (0.0000, 0.0000, 0.5000) [1 per cell]

Output
**DFT total energy**: -7.20 eV per atom
**D(E_F)**: 0.53 states/eV/atom
**Crystal system**: tetragonal
**E_form**: -777.3 meV per atom

Record 9
A relaxed La2ScGe3Ir4 crystal, computed with PBE-GGA.

a b c (Å): 4.2069 4.2069 11.0524
angles (deg): 90.00 90.00 90.00
Space group P-4m2 (No. 115)
Symmetry-distinct sites (fractional):
La (0.0000, 0.5000, 0.2401) [2 per cell]
Sc (0.0000, 0.0000, 0.5000) [1 per cell]
Ge (0.0000, 0.5000, 0.8764) [2 per cell]
Ge (0.5000, 0.5000, 0.5000) [1 per cell]
Ir (0.0000, 0.0000, 0.0000) [1 per cell]
Ir (0.0000, 0.5000, 0.6489) [2 per cell]
Ir (0.5000, 0.5000, 0.0000) [1 per cell]

Output
**DFT total energy**: -7.41 eV per atom
**D(E_F)**: 0.56 states/eV/atom
**Crystal system**: tetragonal
**E_form**: -859.0 meV per atom

Record 10
A relaxed La2Si3GeIr4 crystal, computed with PBE-GGA.

a b c (Å): 4.2488 4.2488 10.0294
angles (deg): 90.00 90.00 90.00
Space group P-4m2 (No. 115)
Symmetry-distinct sites (fractional):
La (0.0000, 0.5000, 0.2448) [2 per cell]
Si (0.0000, 0.0000, 0.0000) [1 per cell]
Si (0.0000, 0.5000, 0.6271) [2 per cell]
Ge (0.5000, 0.5000, 0.0000) [1 per cell]
Ir (0.0000, 0.0000, 0.5000) [1 per cell]
Ir (0.0000, 0.5000, 0.8695) [2 per cell]
Ir (0.5000, 0.5000, 0.5000) [1 per cell]

Output
**DFT total energy**: -7.60 eV per atom
**D(E_F)**: 0.55 states/eV/atom
**Crystal system**: tetragonal
**E_form (uncorrected)**: -0.98 eV per atom

Record 11
A relaxed La2SmGe3Ir4 crystal, computed with PBE-GGA.

a b c (Å): 4.2480 4.2480 11.3797
angles (deg): 90.00 90.00 90.00
Space group P-4m2 (No. 115)
Symmetry-distinct sites (fractional):
La (0.0000, 0.5000, 0.2311) [2 per cell]
Sm (0.0000, 0.0000, 0.5000) [1 per cell]
Ge (0.0000, 0.5000, 0.8815) [2 per cell]
Ge (0.5000, 0.5000, 0.5000) [1 per cell]
Ir (0.0000, 0.0000, 0.0000) [1 per cell]
Ir (0.0000, 0.5000, 0.6636) [2 per cell]
Ir (0.5000, 0.5000, 0.0000) [1 per cell]

Output
**DFT total energy**: -7.17 eV per atom
**D(E_F)**: 0.55 states/eV/atom
**Crystal system**: tetragonal
**E_form**: -780.3 meV per atom

Record 12
A relaxed La2SnGe3Ir4 crystal, computed with PBE-GGA.

a b c (Å): 4.3359 4.3359 10.5300
angles (deg): 90.00 90.00 90.00
Space group P-4m2 (No. 115)
Symmetry-distinct sites (fractional):
La (0.0000, 0.5000, 0.2470) [2 per cell]
Sn (0.0000, 0.0000, 0.5000) [1 per cell]
Ge (0.0000, 0.5000, 0.8741) [2 per cell]
Ge (0.5000, 0.5000, 0.5000) [1 per cell]
Ir (0.0000, 0.0000, 0.0000) [1 per cell]
Ir (0.0000, 0.5000, 0.6401) [2 per cell]
Ir (0.5000, 0.5000, 0.0000) [1 per cell]

Output
**DFT total energy**: -7.06 eV per atom
**D(E_F)**: 0.64 states/eV/atom
**Crystal system**: tetragonal
**E_form**: -742.1 meV per atom

Record 13
A relaxed SrLaGe2Ir crystal, computed with PBE-GGA.

a b c (Å): 5.1297 5.1297 5.2302
angles (deg): 90.00 90.00 90.00
Space group P4/mmm (No. 123)
Symmetry-distinct sites (fractional):
Sr (0.0000, 0.0000, 0.0000) [1 per cell]
La (0.5000, 0.5000, 0.0000) [1 per cell]
Ge (0.0000, 0.5000, 0.5000) [2 per cell]
Ir (0.5000, 0.5000, 0.5000) [1 per cell]

Output
**DFT total energy**: -5.13 eV per atom
**D(E_F)**: 0.50 states/eV/atom
**Crystal system**: tetragonal
**E_form**: -193.1 meV per atom

Record 14
A relaxed La2TaGe4Ir3 crystal, computed with PBE-GGA.

a b c (Å): 4.2593 4.2593 10.8176
angles (deg): 90.00 90.00 90.00
Space group P-4m2 (No. 115)
Symmetry-distinct sites (fractional):
La (0.0000, 0.5000, 0.2389) [2 per cell]
Ta (0.0000, 0.0000, 0.5000) [1 per cell]
Ge (0.0000, 0.0000, 0.0000) [1 per cell]
Ge (0.0000, 0.5000, 0.6450) [2 per cell]
Ge (0.5000, 0.5000, 0.0000) [1 per cell]
Ir (0.0000, 0.5000, 0.8776) [2 per cell]
Ir (0.5000, 0.5000, 0.5000) [1 per cell]

Output
**DFT total energy**: -7.37 eV per atom
**D(E_F)**: 0.65 states/eV/atom
**Crystal system**: tetragonal
**E_form**: -693.0 meV per atom

Record 15
A relaxed La2TiGe4Ir3 crystal, computed with PBE-GGA.

a b c (Å): 4.2723 4.2723 10.6895
angles (deg): 90.00 90.00 90.00
Space group P-4m2 (No. 115)
Symmetry-distinct sites (fractional):
La (0.0000, 0.5000, 0.2417) [2 per cell]
Ti (0.0000, 0.0000, 0.5000) [1 per cell]
Ge (0.0000, 0.0000, 0.0000) [1 per cell]
Ge (0.0000, 0.5000, 0.6412) [2 per cell]
Ge (0.5000, 0.5000, 0.0000) [1 per cell]
Ir (0.0000, 0.5000, 0.8773) [2 per cell]
Ir (0.5000, 0.5000, 0.5000) [1 per cell]

Output
**DFT total energy**: -7.05 eV per atom
**D(E_F)**: 0.78 states/eV/atom
**Crystal system**: tetragonal
**E_form**: -769.8 meV per atom

Record 16
A relaxed La2TiGe3Ir4 crystal, computed with PBE-GGA.

a b c (Å): 4.2156 4.2156 10.7591
angles (deg): 90.00 90.00 90.00
Space group P-4m2 (No. 115)
Symmetry-distinct sites (fractional):
La (0.0000, 0.5000, 0.2461) [2 per cell]
Ti (0.0000, 0.0000, 0.5000) [1 per cell]
Ge (0.0000, 0.5000, 0.8732) [2 per cell]
Ge (0.5000, 0.5000, 0.5000) [1 per cell]
Ir (0.0000, 0.0000, 0.0000) [1 per cell]
Ir (0.0000, 0.5000, 0.6383) [2 per cell]
Ir (0.5000, 0.5000, 0.0000) [1 per cell]

Output
**DFT total energy**: -7.54 eV per atom
**D(E_F)**: 0.57 states/eV/atom
**Crystal system**: tetragonal
**E_form**: -834.2 meV per atom

Record 17
A relaxed LaTl2GeIr crystal, computed with PBE-GGA.

a b c (Å): 6.2361 6.2361 4.8988
angles (deg): 90.00 90.00 90.00
Space group P4/mmm (No. 123)
Symmetry-distinct sites (fractional):
La (0.0000, 0.0000, 0.0000) [1 per cell]
Tl (0.0000, 0.5000, 0.0000) [2 per cell]
Ge (0.5000, 0.5000, 0.5000) [1 per cell]
Ir (0.0000, 0.0000, 0.5000) [1 per cell]

Output
**DFT total energy**: -3.62 eV per atom
**D(E_F)**: 0.82 states/eV/atom
**Crystal system**: tetragonal
**E_form**: 1010.7 meV per atom

Record 18
A relaxed La2TlGeIr crystal, computed with PBE-GGA.

a b c (Å): 8.2016 4.4311 8.2311
angles (deg): 90.00 111.19 90.00
Space group P2_1/m (No. 11)
Symmetry-distinct sites (fractional):
La (0.0819, 0.2500, 0.3360) [2 per cell]
La (0.3355, 0.7500, 0.0793) [2 per cell]
Tl (0.3821, 0.7500, 0.6195) [2 per cell]
Ge (0.2346, 0.2500, 0.7632) [2 per cell]
Ir (0.0498, 0.2500, 0.9495) [2 per cell]

Output
**DFT total energy**: -5.77 eV per atom
**D(E_F)**: 0.56 states/eV/atom
**Crystal system**: monoclinic
**Distance to the lowest polymorph of the same formula**: 0 meV/atom
**E_form**: -627.5 meV per atom

Record 19
A relaxed La2TlGeIr crystal, computed with PBE-GGA.

a b c (Å): 5.6299 5.6299 4.7522
angles (deg): 90.00 90.00 90.00
Space group P4/mmm (No. 123)
Symmetry-distinct sites (fractional):
La (0.0000, 0.5000, 0.0000) [2 per cell]
Tl (0.0000, 0.0000, 0.5000) [1 per cell]
Ge (0.5000, 0.5000, 0.5000) [1 per cell]
Ir (0.5000, 0.5000, 0.0000) [1 per cell]

Output
**DFT total energy**: -5.64 eV per atom
**D(E_F)**: 0.69 states/eV/atom
**Crystal system**: tetragonal
**Distance to the lowest polymorph of the same formula**: 127 meV/atom
**E_form**: -500.5 meV per atom

Record 20
A relaxed LaTmGe4Ir2 crystal, computed with PBE-GGA.

a b c (Å): 4.3358 8.9350 16.3528
angles (deg): 90.00 90.00 90.00
Space group Immm (No. 71)
Symmetry-distinct sites (fractional):
La (0.0000, 0.2362, 0.0000) [4 per cell]
Tm (0.0000, 0.0000, 0.2063) [4 per cell]
Ge (0.0000, 0.0000, 0.4210) [4 per cell]
Ge (0.0000, 0.3485, 0.2026) [8 per cell]
Ge (0.0000, 0.5000, 0.4200) [4 per cell]
Ir (0.0000, 0.2476, 0.3514) [8 per cell]

Output
**DFT total energy**: -6.53 eV per atom
**D(E_F)**: 0.50 states/eV/atom
**Crystal system**: orthorhombic
**E_form**: -827.1 meV per atom

Record 21
A relaxed La2TmGe4Ir3 crystal, computed with PBE-GGA.

a b c (Å): 4.3165 4.3165 11.0777
angles (deg): 90.00 90.00 90.00
Space group P-4m2 (No. 115)
Symmetry-distinct sites (fractional):
La (0.0000, 0.5000, 0.2300) [2 per cell]
Tm (0.0000, 0.0000, 0.5000) [1 per cell]
Ge (0.0000, 0.0000, 0.0000) [1 per cell]
Ge (0.0000, 0.5000, 0.6613) [2 per cell]
Ge (0.5000, 0.5000, 0.0000) [1 per cell]
Ir (0.0000, 0.5000, 0.8840) [2 per cell]
Ir (0.5000, 0.5000, 0.5000) [1 per cell]

Output
**DFT total energy**: -6.72 eV per atom
**D(E_F)**: 0.47 states/eV/atom
**Crystal system**: tetragonal
**E_form**: -786.7 meV per atom

Record 22
A relaxed La2UGe4Ir3 crystal, computed with PBE-GGA.

a b c (Å): 4.2990 4.2990 11.3097
angles (deg): 90.00 90.00 90.00
Space group P-4m2 (No. 115)
Symmetry-distinct sites (fractional):
La (0.0000, 0.5000, 0.2303) [2 per cell]
U (0.0000, 0.0000, 0.5000) [1 per cell]
Ge (0.0000, 0.0000, 0.0000) [1 per cell]
Ge (0.0000, 0.5000, 0.6692) [2 per cell]
Ge (0.5000, 0.5000, 0.0000) [1 per cell]
Ir (0.0000, 0.5000, 0.8865) [2 per cell]
Ir (0.5000, 0.5000, 0.5000) [1 per cell]

Output
**DFT total energy**: -7.25 eV per atom
**D(E_F)**: 0.98 states/eV/atom
**Crystal system**: tetragonal
**E_form**: -630.5 meV per atom

Record 23
A relaxed La2VGe4Ir3 crystal, computed with PBE-GGA.

a b c (Å): 4.3216 4.3216 10.3406
angles (deg): 90.00 90.00 90.00
Space group P-4m2 (No. 115)
Symmetry-distinct sites (fractional):
La (0.0000, 0.5000, 0.2453) [2 per cell]
V (0.0000, 0.0000, 0.5000) [1 per cell]
Ge (0.0000, 0.0000, 0.0000) [1 per cell]
Ge (0.0000, 0.5000, 0.6324) [2 per cell]
Ge (0.5000, 0.5000, 0.0000) [1 per cell]
Ir (0.0000, 0.5000, 0.8767) [2 per cell]
Ir (0.5000, 0.5000, 0.5000) [1 per cell]

Output
**DFT total energy**: -7.10 eV per atom
**D(E_F)**: 0.70 states/eV/atom
**Crystal system**: tetragonal
**E_form**: -693.9 meV per atom